# GGA-PBE Ba6Sn3H, optimized geometry
# * calculated total energy: -62.8 eV per cell
# * DOS(E_F): 15.24 states/eV per cell
data_Ba6Sn3H
_cell_length_a 7.708
_cell_length_b 9.506
_cell_length_c 13.717
_cell_angle_alpha 90.00
_cell_angle_beta 121.26
_cell_angle_gamma 90.00
_space_group_name_H-M_alt 'P 1 21/c 1'
_space_group_IT_number 14
loop_
_space_group_symop_operation_xyz
'x,y,z'
'-x,-y,-z'
'-x,y+1/2,-z+1/2'
'x,-y+1/2,z+1/2'
loop_
_atom_site_label
_atom_site_fract_x
_atom_site_fract_y
_atom_site_fract_z
Ba1 0.105 0.050 0.233
Ba2 0.212 0.685 0.070
Ba3 0.384 0.170 0.057
Sn1 0.307 0.106 0.754
Sn2 0.500 0.000 0.500
H1 0.000 0.000 0.000